No. 1
! V3B2 (PBE, optimized geometry); values from VASP
&SYSTEM
  ibrav = 0, nat = 20, ntyp = 2
/
ATOMIC_SPECIES
V 50.94 V.upf
B 10.81 B.upf
ATOMIC_POSITIONS crystal
V 0.0441 0.2500 0.1259
V 0.1139 0.7500 0.5681
V 0.2265 0.2500 0.8062
V 0.2735 0.7500 0.3062
V 0.3861 0.2500 0.0681
V 0.4559 0.7500 0.6259
V 0.5441 0.2500 0.3741
V 0.6139 0.7500 0.9319
V 0.7265 0.2500 0.6938
V 0.7735 0.7500 0.1938
V 0.8861 0.2500 0.4319
V 0.9559 0.7500 0.8741
B 0.0112 0.7500 0.3099
B 0.1932 0.7500 0.0106
B 0.3068 0.2500 0.5106
B 0.4888 0.2500 0.8099
B 0.5112 0.7500 0.1901
B 0.6932 0.7500 0.4894
B 0.8068 0.2500 0.9894
B 0.9888 0.2500 0.6901
CELL_PARAMETERS angstrom
8.3876 0.0000 0.0000
0.0000 3.0517 0.0000
0.0000 0.0000 8.2179
! ΔE_f, meV/atom: -414.0
! ρ, g cm⁻³: 5.5



No. 2
! NdSm3Y3Te8 (PBE, optimized geometry); values from VASP
&SYSTEM
  ibrav = 0, nat = 15, ntyp = 4
/
ATOMIC_SPECIES
Nd 144.24 Nd.upf
Sm 150.36 Sm.upf
Y 88.91 Y.upf
Te 127.60 Te.upf
ATOMIC_POSITIONS crystal
Nd 0.0000 0.0000 0.0000
Sm 0.0000 0.0000 0.5000
Sm 0.0000 0.5000 0.0000
Sm 0.5000 0.0000 0.0000
Y 0.0000 0.5000 0.5000
Y 0.5000 0.0000 0.5000
Y 0.5000 0.5000 0.0000
Te 0.2521 0.2521 0.2521
Te 0.2596 0.2596 0.7362
Te 0.2596 0.7362 0.2596
Te 0.2638 0.7404 0.7404
Te 0.7362 0.2596 0.2596
Te 0.7404 0.2638 0.7404
Te 0.7404 0.7404 0.2638
Te 0.7479 0.7479 0.7479
CELL_PARAMETERS angstrom
4.3913 2.5353 7.1739
-4.3913 2.5353 7.1739
0.0000 -5.0707 7.1739
! ρ, g cm⁻³: 6.5
! Formation energy (no corrections), meV per atom: -1417